1.
PBE-GGA FeTc2SCl, relaxed; symmetry = P4/mmm; raw total energy = -6.19 eV per atom
1.0
4.486 0.000 0.000
0.000 4.486 0.000
0.000 0.000 4.234
Fe Tc S Cl
1 2 1 1
Direct
0.000 0.000 0.000
0.000 0.500 0.500
0.500 0.000 0.500
0.000 0.000 0.500
0.500 0.500 0.000

2.
PBE-GGA FeTeSCl2, relaxed; symmetry = P4/mmm; distance to the lowest polymorph of the same formula = 0.0 meV per atom; raw total energy = -3.80 eV per atom
1.0
4.563 0.000 0.000
0.000 4.563 0.000
0.000 0.000 4.597
Fe Te S Cl
1 1 1 2
Direct
0.000 0.000 0.000
0.500 0.500 0.500
0.000 0.000 0.500
0.000 0.500 0.000
0.500 0.000 0.000

Number 1: spin magnetization 0.996 μB/atom, DOS(E_F) 1.152 states/eV/atom. Number 2: spin magnetization 0.455 μB/atom, DOS(E_F) 0.925 states/eV/atom.